A plane-wave DFT calculation with PBE with a Hubbard U was carried out for crystalline ZnMo2O4 at its relaxed geometry.

POSCAR file:
```
ZnMo2O4
1.0
3.1628 0.0000 0.0000
0.0000 10.2998 0.0000
0.0000 0.0000 10.4416
Zn Mo O
4 8 16
direct
0.0514 0.3544 0.7500 Zn
0.0514 0.1456 0.2500 Zn
0.9486 0.8544 0.7500 Zn
0.9486 0.6456 0.2500 Zn
0.7024 0.1181 0.9269 Mo
0.7024 0.3819 0.4269 Mo
0.2976 0.8819 0.4269 Mo
0.7024 0.3819 0.0731 Mo
0.2976 0.8819 0.0731 Mo
0.7024 0.1181 0.5731 Mo
0.2976 0.6181 0.5731 Mo
0.2976 0.6181 0.9269 Mo
0.2021 0.9816 0.6118 O
0.7979 0.0184 0.3882 O
0.1976 0.2500 0.5000 O
0.7979 0.4816 0.6118 O
0.7979 0.4816 0.8882 O
0.5782 0.2744 0.2500 O
0.2021 0.5184 0.3882 O
0.4218 0.7744 0.2500 O
0.1976 0.2500 0.0000 O
0.8024 0.7500 0.5000 O
0.2021 0.9816 0.8882 O
0.4218 0.7256 0.7500 O
0.5782 0.2256 0.7500 O
0.8024 0.7500 0.0000 O
0.2021 0.5184 0.1118 O
0.7979 0.0184 0.1118 O
```

Properties
As for the relative energy among the computed polymorphs: 0.90 eV per formula unit.